Record 1
Cs2Cu3SnF12: optimized geometry, GGA-PBE.

## Properties
Space-group type: R-3m, No. 166
Uncorrected energy (eV for the cell shown): -76.9
Excess energy over the best structure of this formula in the dataset (kcal/mol of atoms): 0.00

Lattice parameters (Å, degrees): 7.7058 7.7058 7.7058 53.64 53.64 53.64
Closest atoms and distances in Å follow each position.
Positions (direct):
F 0.8209 0.8209 0.4248  2 Cu 1.89
F 0.5752 0.1791 0.1791  2 Cu 1.89
F 0.4141 0.4141 0.8328  1 Sn 1.99
F 0.8328 0.4141 0.4141  1 Sn 1.99
F 0.4248 0.8209 0.8209  2 Cu 1.89
F 0.5859 0.5859 0.1672  1 Sn 1.99
F 0.5859 0.1672 0.5859  1 Sn 1.99
F 0.1791 0.1791 0.5752  2 Cu 1.89
F 0.8209 0.4248 0.8209  2 Cu 1.89
F 0.1672 0.5859 0.5859  1 Sn 1.99
F 0.1791 0.5752 0.1791  2 Cu 1.89
F 0.4141 0.8328 0.4141  1 Sn 1.99
Cu 0.5000 0.5000 0.0000  4 F 1.89
Cu 0.0000 0.5000 0.5000  4 F 1.89
Cu 0.5000 0.0000 0.5000  4 F 1.89
Cs 0.8867 0.8867 0.8867  6 F 3.02-3.15
Cs 0.1133 0.1133 0.1133  6 F 3.02-3.15
Sn 0.5000 0.5000 0.5000  6 F 1.99

Record 2
Cs2TaCuF6: optimized geometry, GGA-PBE.

## Properties
Space-group type: R-3, No. 148
Uncorrected energy (eV for the cell shown): -53.0

Lattice parameters (Å, degrees): 6.4332 6.4332 6.4332 72.14 72.14 72.14
Closest atoms and distances in Å follow each position.
Positions (direct):
F 0.4536 0.1985 0.6106  1 Ta 1.93
F 0.6106 0.4536 0.1985  1 Ta 1.93
F 0.5464 0.8015 0.3894  1 Ta 1.93
F 0.8015 0.3894 0.5464  1 Ta 1.93
F 0.1985 0.6106 0.4536  1 Ta 1.93
F 0.3894 0.5464 0.8015  1 Ta 1.93
Cs 0.7728 0.7728 0.7728  6 F 2.99-3.16, 1 Cu 3.22
Cs 0.2272 0.2272 0.2272  6 F 2.99-3.16, 1 Cu 3.22
Cu 0.0000 0.0000 0.0000  2 Cs 3.22, 6 F 3.50
Ta 0.5000 0.5000 0.5000  6 F 1.93

Record 3
CsFeCu: optimized geometry, GGA-PBE.

## Properties
Space-group type: F-43m, No. 216
Uncorrected energy (eV for the cell shown): -8.5

Lattice parameters (Å, degrees): 5.0367 5.0367 5.0367 60.00 60.00 60.00
Closest atoms and distances in Å follow each position.
Positions (direct):
Cu 0.7500 0.7500 0.7500  4 Fe 3.08
Cs 0.2500 0.2500 0.2500  4 Fe 3.08
Fe 0.0000 0.0000 0.0000  4 Cu 3.08, 4 Cs 3.08

Record 4
CsFeCuOs: optimized geometry, GGA-PBE.

## Properties
Space-group type: F-43m, No. 216
Uncorrected energy (eV for the cell shown): -16.5
Excess energy over the best structure of this formula in the dataset (kcal/mol of atoms): 4.32

Lattice parameters (Å, degrees): 4.6452 4.6452 4.6452 60.00 60.00 60.00
Closest atoms and distances in Å follow each position.
Positions (direct):
Fe 0.5000 0.5000 0.5000  4 Cu 2.84, 4 Cs 2.84
Cs 0.2500 0.2500 0.2500  4 Fe 2.84, 4 Os 2.84
Cu 0.7500 0.7500 0.7500  4 Fe 2.84, 4 Os 2.84
Os 0.0000 0.0000 0.0000  4 Cu 2.84, 4 Cs 2.84

- Among the records above, which one has the highest uncorrected energy?
  CsFeCu